Record 1
! SiTcBr2 PBEsol optimized geometry; values from VASP
&SYSTEM
  ibrav = 0, nat = 4, ntyp = 3
/
ATOMIC_SPECIES
Br 79.90 Br.upf
Si 28.09 Si.upf
Tc 98.00 Tc.upf
CELL_PARAMETERS angstrom
3.0813 0.0000 0.0000
0.0000 3.9262 0.0000
-1.5406 -1.9631 7.1959
ATOMIC_POSITIONS crystal
Br 0.8500 0.8500 0.7000
Br 0.1500 0.1500 0.3000
Si 0.0000 0.5000 0.0000
Tc 0.5000 0.0000 0.0000
! - Offset from the most stable computed form: 0 meV per atom
! - Mass density: 5.5 g/cm³



Record 2
! Si2TcBr PBEsol optimized geometry; values from VASP
&SYSTEM
  ibrav = 0, nat = 4, ntyp = 3
/
ATOMIC_SPECIES
Br 79.90 Br.upf
Si 28.09 Si.upf
Tc 98.00 Tc.upf
CELL_PARAMETERS angstrom
-1.3406 2.6150 0.4902
-2.4118 0.1338 1.7438
3.8762 2.2342 7.7345
ATOMIC_POSITIONS crystal
Br 0.2330 0.2330 0.3010
Si 0.0162 0.0162 0.9515
Si 0.7578 0.7578 0.7265
Tc 0.4930 0.4930 0.5210
! - Offset from the most stable computed form: 60 meV per atom
! - Mass density: 5.8 g/cm³



Record 3
! SiTcBr PBEsol optimized geometry; values from VASP
&SYSTEM
  ibrav = 0, nat = 3, ntyp = 3
/
ATOMIC_SPECIES
Si 28.09 Si.upf
Tc 98.00 Tc.upf
Br 79.90 Br.upf
CELL_PARAMETERS angstrom
-0.3460 2.8802 0.4667
-3.8681 -0.1541 -1.9171
0.3277 -0.6506 4.2580
ATOMIC_POSITIONS crystal
Si 0.6669 0.6667 0.3333
Tc 0.1666 0.3333 0.6667
Br 0.1665 0.0000 0.0000
! - Offset from the most stable computed form: 414 meV per atom
! - Mass density: 7.2 g/cm³



no.,uncorrected energy (eV/atom),total magnetization (μB per atom),V (Å³/cell)
1,-5.1327,0.0001,87
2,-5.8848,0.0000,67
3,-5.6827,0.0006,47